[1]
RbH6S3: optimized geometry, PBE-GGA.

Values from the calculation:
**Raw total energy**: -3.448 eV per atom

POSCAR file:
```
RbH6S3
1.0
5.0120 0.0000 0.0000
-1.6707 8.0658 0.0000
-1.6707 -4.0329 6.9852
Rb H S
1 6 3
Direct
0.0180 0.0000 0.0000
0.2198 0.4941 0.0000
0.3961 0.5771 0.5771
0.8190 0.0000 0.4229
0.8190 0.4229 0.0000
0.7257 0.5059 0.5059
0.2198 0.0000 0.4941
0.0045 0.0000 0.5697
0.0045 0.5697 0.0000
0.4348 0.4303 0.4303
```

***

[2]
Zr2ScFe: optimized geometry, PBE-GGA.

Values from the calculation:
**ΔE to the lowest computed polymorph**: 0.227 eV/atom
**Raw total energy**: -7.844 eV per atom
**ΔE_f**: 0.128 eV/atom

POSCAR file:
```
Zr2ScFe
1.0
9.1379 0.0105 0.0062
8.5492 3.2269 0.0062
8.5492 1.5648 2.8221
Zr Fe Sc
2 1 1
Direct
0.5171 0.5171 0.5171
0.9829 0.9829 0.9829
0.2500 0.2500 0.2500
0.7500 0.7500 0.7500
```

***

[3]
Nd2ZnCl: optimized geometry, PBE-GGA.

Values from the calculation:
**ΔE to the lowest computed polymorph**: 0.068 eV/atom
**Raw total energy**: -3.927 eV per atom

POSCAR file:
```
Nd2ZnCl
1.0
3.5126 0.0000 0.0000
0.0000 3.5126 0.0000
0.0000 0.0000 8.0906
Nd Cl Zn
2 1 1
Direct
0.0000 0.0000 0.7673
0.0000 0.0000 0.2327
0.5000 0.5000 0.5000
0.5000 0.5000 0.0000
```

***

[4]
Cs3GeSb: optimized geometry, PBE-GGA.

Values from the calculation:
**ΔE to the lowest computed polymorph**: 0.155 eV/atom
**Raw total energy**: -2.013 eV per atom

POSCAR file:
```
Cs3GeSb
1.0
7.3282 0.0000 0.0000
0.0000 7.3282 0.0000
0.0000 0.0000 7.3282
Ge Cs Sb
1 3 1
Direct
0.5000 0.5000 0.5000
0.0000 0.5000 0.0000
0.5000 0.0000 0.0000
0.0000 0.0000 0.5000
0.0000 0.0000 0.0000
```

***

[5]
Dy8CuSb2: optimized geometry, PBE-GGA.

Values from the calculation:
**Raw total energy**: -4.844 eV per atom

POSCAR file:
```
Dy8CuSb2
1.0
4.7971 0.0000 0.0000
0.0000 6.9894 0.4862
-2.3985 -2.3128 9.0659
Dy Sb Cu
8 2 1
Direct
0.7848 0.6597 0.5695
0.4066 0.5044 0.8131
0.9905 0.2232 0.9810
0.3504 0.9747 0.7007
0.0095 0.7768 0.0190
0.2152 0.3403 0.4305
0.5934 0.4956 0.1869
0.6496 0.0253 0.2993
0.8183 0.2289 0.6367
0.1817 0.7711 0.3633
0.5000 0.0000 0.0000
```

***

[6]
Sm7Ho4Mg: optimized geometry, PBE-GGA.

Values from the calculation:
**Raw total energy**: -4.203 eV per atom
**ΔE_f**: 0.208 eV/atom

POSCAR file:
```
Sm7Ho4Mg
1.0
5.3251 0.0000 1.4473
2.2520 5.3874 2.2342
-0.6683 -1.5315 12.9790
Ho Sm Mg
4 7 1
Direct
0.5447 0.6898 0.2208
0.9085 0.5547 0.6283
0.4553 0.3103 0.7792
0.0915 0.4453 0.3717
0.2255 0.4467 0.1022
0.3607 0.8101 0.4685
0.5000 0.0000 0.0000
0.6393 0.1899 0.5315
0.1621 0.9312 0.7445
0.8379 0.0688 0.2555
0.7745 0.5533 0.8978
0.0000 0.0000 0.0000
```